Here is a geometry-optimized Sr2CaGa3Au4 structure from Alexandria. Energies are from PBE.

Cell and atoms, written as POSCAR:
```
Sr2CaGa3Au4
1.0
4.586 0.000 0.000
0.000 4.586 0.000
0.000 0.000 11.407
Sr Ca Ga Au
2 1 3 4
direct
0.000 0.500 0.225
0.500 0.000 0.775
0.000 0.000 0.500
0.000 0.500 0.883
0.500 0.000 0.117
0.500 0.500 0.500
0.000 0.000 0.000
0.000 0.500 0.657
0.500 0.000 0.343
0.500 0.500 0.000
```

Results
* calculated density: 8.4 g/cm3
* formation enthalpy at 0 K: -0.62 eV/atom
* volume: 240 Å³/f.u.
* E: -3.3746 eV per atom
* space-group type: P-4m2 (115)